Crystalline Np3Ni5S12 at its relaxed geometry. Source: Alexandria, functional GGA-PBE.

As for the raw formation energy: -0.7320 eV/atom. The volume is 2904.8 Å³ per cell.

It has space group Ia-3d (No. 230), with a = 14.268 Å, b = 14.268 Å, c = 14.268 Å, α = 90.00°, β = 90.00° and γ = 90.00°. The asymmetric unit holds Np at (0.000, 0.250, 0.125), Ni at (0.000, 0.000, 0.000), Ni at (0.000, 0.250, 0.375) and S at (0.029, 0.059, 0.647).


Crystalline Np2NiS3 at its relaxed geometry. Source: Alexandria, functional GGA-PBE.

As for the raw formation energy: -1.2199 eV/atom. The volume is 440.5 Å³ per cell.

It has space group Pnma (No. 62), with a = 7.742 Å, b = 3.787 Å, c = 15.024 Å, α = 90.00°, β = 90.00° and γ = 90.00°. The asymmetric unit holds Np at (0.076, 0.250, 0.219), Np at (0.244, 0.750, 0.464), Ni at (0.123, 0.250, 0.634), S at (0.012, 0.250, 0.401), S at (0.111, 0.750, 0.076) and S at (0.188, 0.250, 0.779).


Crystalline NpNiS2 at its relaxed geometry. Source: Alexandria, functional GGA-PBE.

For the polymorph energy (0 for the lowest one), the calculation gives 0.742 eV per formula unit. As for the raw formation energy: -0.7043 eV/atom. The volume is 299.6 Å³ per cell.

It has space group R-3m (No. 166, hexagonal axes), with a = 4.0984 Å, b = 4.0984 Å, c = 20.5990 Å, α = 90.00°, β = 90.00° and γ = 120.00°. The asymmetric unit holds Np at (0.0000, 0.0000, 0.0000), Ni at (0.0000, 0.0000, 0.5000) and S at (0.0000, 0.0000, 0.3985).


Crystalline Np2NiS6 at its relaxed geometry. Source: Alexandria, functional GGA-PBE.

As for the raw formation energy: -0.7511 eV/atom. The volume is 408.0 Å³ per cell.

It has space group P4_2/mnm (No. 136), with a = 6.101 Å, b = 6.101 Å, c = 10.960 Å, α = 90.00°, β = 90.00° and γ = 90.00°. The asymmetric unit holds Np at (0.000, 0.000, 0.178), Ni at (0.000, 0.000, 0.500), S at (0.192, 0.192, 0.000) and S at (0.193, 0.193, 0.357).


Crystalline NpNi5S4 at its relaxed geometry. Source: Alexandria, functional GGA-PBE.

As for the raw formation energy: -0.5104 eV/atom. The volume is 289.1 Å³ per cell.

It has space group Immm (No. 71), with a = 3.689 Å, b = 6.535 Å, c = 11.992 Å, α = 90.00°, β = 90.00° and γ = 90.00°. The asymmetric unit holds Np at (0.000, 0.000, 0.000), Ni at (0.000, 0.302, 0.319), Ni at (0.000, 0.500, 0.000), S at (0.000, 0.000, 0.227) and S at (0.000, 0.211, 0.500).


Crystalline Np2Ni4S5 at its relaxed geometry. Source: Alexandria, functional GGA-PBE.

As for the raw formation energy: -0.7475 eV/atom. The volume is 555.4 Å³ per cell.

It has space group R-3m (No. 166, hexagonal axes), with a = 3.7206 Å, b = 3.7206 Å, c = 46.3255 Å, α = 90.00°, β = 90.00° and γ = 120.00°. The asymmetric unit holds Np at (0.0000, 0.0000, 0.1293), Ni at (0.0000, 0.0000, 0.3173), Ni at (0.0000, 0.0000, 0.4145), S at (0.0000, 0.0000, 0.2398), S at (0.0000, 0.0000, 0.3660) and S at (0.0000, 0.0000, 0.5000).


Crystalline NpNi2S4 at its relaxed geometry. Source: Alexandria, functional GGA-PBE.

As for the raw formation energy: -0.5855 eV/atom. The volume is 140.3 Å³ per cell.

It has space group P4/mmm (No. 123), with a = 6.287 Å, b = 6.287 Å, c = 3.550 Å, α = 90.00°, β = 90.00° and γ = 90.00°. The asymmetric unit holds Np at (0.000, 0.000, 0.000), Ni at (0.000, 0.500, 0.500) and S at (0.233, 0.233, 0.500).


Crystalline NpNiS2 at its relaxed geometry. Source: Alexandria, functional GGA-PBE.

For the polymorph energy (0 for the lowest one), the calculation gives 0.991 eV per formula unit. As for the raw formation energy: -0.6421 eV/atom. The volume is 252.8 Å³ per cell.

It has space group R3m (No. 160, hexagonal axes), with a = 3.8434 Å, b = 3.8434 Å, c = 19.7602 Å, α = 90.00°, β = 90.00° and γ = 120.00°. The asymmetric unit holds Np at (0.0000, 0.0000, 0.0000), Ni at (0.0000, 0.0000, 0.5367), S at (0.0000, 0.0000, 0.4071) and S at (0.0000, 0.0000, 0.8717).


What did the seventh record say?
Crystalline NpNi2S4 at its relaxed geometry. Source: Alexandria, functional GGA-PBE.

As for the raw formation energy: -0.5855 eV/atom. The volume is 140.3 Å³ per cell.

It has space group P4/mmm (No. 123), with a = 6.287 Å, b = 6.287 Å, c = 3.550 Å, α = 90.00°, β = 90.00° and γ = 90.00°. The asymmetric unit holds Np at (0.000, 0.000, 0.000), Ni at (0.000, 0.500, 0.500) and S at (0.233, 0.233, 0.500).